(1)
Material: Er4Pd2Ru
Method: DFT, PBE
State: optimized geometry

Cell: 6.848 9.816 4.775 Å, 90.00 90.00 90.00°
Positions (direct):
Er  0.246  0.000  0.000
Er  0.250  0.250  0.500
Er  0.250  0.750  0.500
Er  0.254  0.500  0.000
Er  0.746  0.500  0.000
Er  0.750  0.250  0.500
Er  0.750  0.750  0.500
Er  0.754  0.000  0.000
Pd  0.000  0.247  0.000
Pd  0.000  0.753  0.000
Pd  0.500  0.253  0.000
Pd  0.500  0.747  0.000
Ru  0.000  0.000  0.500
Ru  0.500  0.500  0.500

(2)
Material: Er6Pd2Ru
Method: DFT, PBE
State: optimized geometry

Cell: 6.454 7.361 11.591 Å, 90.00 122.66 90.00°
Positions (direct):
Er  0.099  0.038  0.247
Er  0.099  0.462  0.747
Er  0.222  0.678  0.068
Er  0.222  0.822  0.568
Er  0.392  0.177  0.063
Er  0.392  0.323  0.563
Er  0.608  0.677  0.437
Er  0.608  0.823  0.937
Er  0.778  0.178  0.432
Er  0.778  0.322  0.932
Er  0.901  0.538  0.253
Er  0.901  0.962  0.753
Pd  0.312  0.118  0.754
Pd  0.312  0.382  0.254
Pd  0.688  0.618  0.746
Pd  0.688  0.882  0.246
Ru  0.500  0.000  0.500
Ru  0.500  0.500  0.000

Ordered N(E_F) results: 5.10; 7.45; unit states/eV/f.u..
Ordered DFT total energy results: -6.067; -5.746; unit eV per atom.